The following is a PBE calculation of CuTcB4 after structural relaxation, from OQMD via LeMat-Bulk.

Polymorph energy (0 for the lowest one): 42 meV per atom
Total DFT energy (no corrections): -6.638 eV per atom

Lattice parameters (Å, degrees): 2.9512 2.9512 6.9858 90.00 90.00 120.00
Space group P6/mmm (No. 191)
One atom of each set of equivalent atoms:
Cu: 0.0000 0.0000 0.0000 x1
Tc: 0.0000 0.0000 0.5000 x1
B: 0.3333 0.6667 0.2558 x4

=====

The following is a PBE calculation of CuTcBW after structural relaxation, from OQMD via LeMat-Bulk.

Polymorph energy (0 for the lowest one): 0 meV per atom
Total DFT energy (no corrections): -7.756 eV per atom

Lattice parameters (Å, degrees): 5.893 5.893 5.893 90.00 90.00 90.00
Space group F-43m (No. 216)
One atom of each set of equivalent atoms:
Cu: 0.000 0.000 0.000 x4
Tc: 0.000 0.000 0.500 x4
B: 0.250 0.250 0.750 x4
W: 0.250 0.250 0.250 x4

=====

The following is a PBE calculation of ZnCuTcB after structural relaxation, from OQMD via LeMat-Bulk.

Polymorph energy (0 for the lowest one): 0 meV per atom
Total DFT energy (no corrections): -5.046 eV per atom

Lattice parameters (Å, degrees): 5.696 5.696 5.696 90.00 90.00 90.00
Space group F-43m (No. 216)
One atom of each set of equivalent atoms:
Zn: 0.000 0.000 0.000 x4
Cu: 0.250 0.250 0.750 x4
Tc: 0.250 0.250 0.250 x4
B: 0.000 0.000 0.500 x4

=====

The following is a PBE calculation of ZnCuTcB after structural relaxation, from OQMD via LeMat-Bulk.

Polymorph energy (0 for the lowest one): 474 meV per atom
Total DFT energy (no corrections): -4.572 eV per atom

Lattice parameters (Å, degrees): 5.775 5.775 5.775 90.00 90.00 90.00
Space group F-43m (No. 216)
One atom of each set of equivalent atoms:
Zn: 0.000 0.000 0.000 x4
Cu: 0.000 0.000 0.500 x4
Tc: 0.250 0.250 0.250 x4
B: 0.250 0.250 0.750 x4

=====

The following is a PBE calculation of ZrCuTcB after structural relaxation, from OQMD via LeMat-Bulk.

Polymorph energy (0 for the lowest one): 0 meV per atom
Total DFT energy (no corrections): -6.828 eV per atom

Lattice parameters (Å, degrees): 6.051 6.051 6.051 90.00 90.00 90.00
Space group F-43m (No. 216)
One atom of each set of equivalent atoms:
Zr: 0.000 0.000 0.000 x4
Cu: 0.250 0.250 0.750 x4
Tc: 0.250 0.250 0.250 x4
B: 0.000 0.000 0.500 x4

=====

The following is a PBE calculation of ZrCuTcB after structural relaxation, from OQMD via LeMat-Bulk.

Polymorph energy (0 for the lowest one): 139 meV per atom
Total DFT energy (no corrections): -6.689 eV per atom

Lattice parameters (Å, degrees): 6.115 6.115 6.115 90.00 90.00 90.00
Space group F-43m (No. 216)
One atom of each set of equivalent atoms:
Zr: 0.000 0.000 0.000 x4
Cu: 0.000 0.000 0.500 x4
Tc: 0.250 0.250 0.750 x4
B: 0.250 0.250 0.250 x4

=====

The following is a PBE calculation of CuBTe after structural relaxation, from OQMD via LeMat-Bulk.

Polymorph energy (0 for the lowest one): 0 meV per atom
Total DFT energy (no corrections): -3.510 eV per atom

Lattice parameters (Å, degrees): 5.856 5.856 5.856 90.00 90.00 90.00
Space group F-43m (No. 216)
One atom of each set of equivalent atoms:
Cu: 0.000 0.000 0.000 x4
B: 0.250 0.250 0.250 x4
Te: 0.000 0.000 0.500 x4

=====

The following is a PBE calculation of CuBTe2 after structural relaxation, from OQMD via LeMat-Bulk.

Total DFT energy (no corrections): -2.866 eV per atom

Lattice parameters (Å, degrees): 6.901 6.901 6.901 90.00 90.00 90.00
Space group F-43m (No. 216)
One atom of each set of equivalent atoms:
Cu: 0.000 0.000 0.000 x4
B: 0.250 0.250 0.750 x4
Te: 0.000 0.000 0.500 x4
Te: 0.250 0.250 0.250 x4